Here is a geometry-optimized Li2CaPAu structure from Alexandria. Energies are from GGA-PBE.

The formation energy is -0.21 eV per atom.

The structure belongs to space group P4/mmm (No. 123); the cell edges are 4.628, 4.628 and 5.638 Å and the angles 90.00°, 90.00° and 90.00°. Symmetry generates all atoms from Li at (0.000, 0.500, 0.000), Ca at (0.000, 0.000, 0.500), P at (0.500, 0.500, 0.500) and Au at (0.000, 0.000, 0.000).

---

Here is a geometry-optimized Ce2CdFe structure from Alexandria. Energies are from GGA-PBE.

The value obtained for the relative energy among the computed polymorphs is 83 meV/atom. The formation energy is 0.01 eV per atom.

The structure belongs to space group R3m (No. 160, hexagonal axes); the cell edges are 3.7964, 3.7964 and 24.2663 Å and the angles 90.00°, 90.00° and 120.00°. Symmetry generates all atoms from Ce at (0.0000, 0.0000, 0.0000), Ce at (0.0000, 0.0000, 0.2122), Cd at (0.0000, 0.0000, 0.7736) and Fe at (0.0000, 0.0000, 0.6052).

---

Here is a geometry-optimized ScP2SCl structure from Alexandria. Energies are from GGA-PBE.

The value obtained for the relative energy among the computed polymorphs is 75 meV/atom. The uncorrected formation energy comes out at 0.301 eV/atom.

The structure belongs to space group P4/mmm (No. 123); the cell edges are 5.106, 5.106 and 4.697 Å and the angles 90.00°, 90.00° and 90.00°. Symmetry generates all atoms from Sc at (0.000, 0.000, 0.000), P at (0.000, 0.500, 0.000), S at (0.500, 0.500, 0.500) and Cl at (0.000, 0.000, 0.500).

---

Here is a geometry-optimized TbGe2Ir structure from Alexandria. Energies are from GGA-PBE.

The formation energy is -0.81 eV per atom.

The structure belongs to space group Immm (No. 71); the cell edges are 4.268, 8.933 and 16.263 Å and the angles 90.00°, 90.00° and 90.00°. Symmetry generates all atoms from Tb at (0.000, 0.000, 0.205), Tb at (0.000, 0.234, 0.000), Ge at (0.000, 0.000, 0.422), Ge at (0.000, 0.347, 0.202), Ge at (0.000, 0.500, 0.423) and Ir at (0.000, 0.249, 0.355).